Density functional theory data (PBE-GGA) for a geometry-optimized Sc3AlO structure.

Properties
total energy	-6.82	eV/atom
spin magnetization	0.00	μB per formula unit
formation energy (no corrections)	-1.279	eV/atom
symmetry	No. 12
volume	92.92	Å³/f.u.

Cell: 12.3253 6.5096 6.5096 Å, 139.10 141.86 38.14°
Last column: nearest neighbours and their distance in Å.
Fractional coordinates of all 10 atoms:
Sc 0.3022 0.6103 0.3897  1 O 2.13
Sc 0.6978 0.3897 0.6103  1 O 2.13
Sc 0.9859 0.3578 0.6422  3 O 2.17-2.28
Sc 0.0141 0.6422 0.3578  3 O 2.17-2.28
Sc 0.3304 0.8749 0.1251  1 O 2.15
Sc 0.6696 0.1251 0.8749  1 O 2.15
Al 0.3790 0.1885 0.8115  1 Al 2.65, 5 Sc 2.90-2.96
Al 0.6210 0.8115 0.1885  1 Al 2.65, 5 Sc 2.90-2.96
O 0.9904 0.8397 0.1603  5 Sc 2.13-2.28
O 0.0096 0.1603 0.8397  5 Sc 2.13-2.28